1.
Compound: ErAlGa6
Source: the Alexandria database
Functional: PBE
Structure: optimized geometry

The space group is P4/mmm (No. 123) and the conventional cell measures 6.171, 6.171 and 3.939 Å, with angles of 90.00, 90.00 and 90.00 degrees. The inequivalent atoms are Er at (0.000, 0.000, 0.000), Al at (0.500, 0.500, 0.000), Ga at (0.000, 0.500, 0.000) and Ga at (0.267, 0.267, 0.500).

For the formation energy from the elements, the calculation gives -21 kJ per mole of atoms.


2.
Compound: Er5Al2Ga12
Source: the Alexandria database
Functional: PBE
Structure: optimized geometry

The space group is C2/m (No. 12) and the conventional cell measures 13.895, 6.671 and 9.608 Å, with angles of 90.00, 101.12 and 90.00 degrees. The inequivalent atoms are Er at (0.000, 0.000, 0.000), Er at (0.128, 0.500, 0.307), Er at (0.209, 0.500, 0.745), Al at (0.000, 0.302, 0.500), Ga at (0.048, 0.500, 0.902), Ga at (0.059, 0.000, 0.315), Ga at (0.178, 0.179, 0.541) and Ga at (0.184, 0.299, 0.064).

For the formation energy from the elements, the calculation gives -21 kJ per mole of atoms.


3.
Compound: Er4AlGa3
Source: the Alexandria database
Functional: PBE
Structure: optimized geometry

The space group is Pmm2 (No. 25) and the conventional cell measures 4.019, 4.344 and 10.839 Å, with angles of 90.00, 90.00 and 90.00 degrees. The inequivalent atoms are Er at (0.000, 0.000, 0.000), Er at (0.000, 0.500, 0.497), Er at (0.500, 0.000, 0.276), Er at (0.500, 0.500, 0.780), Al at (0.500, 0.000, 0.566), Ga at (0.000, 0.000, 0.719), Ga at (0.000, 0.500, 0.216) and Ga at (0.500, 0.500, 0.061).

For the formation energy from the elements, the calculation gives -55 kJ per mole of atoms.


4.
Compound: Er3AlGa12
Source: the Alexandria database
Functional: PBE
Structure: optimized geometry

The space group is P4/mmm (No. 123) and the conventional cell measures 4.216, 4.216 and 17.023 Å, with angles of 90.00, 90.00 and 90.00 degrees. The inequivalent atoms are Er at (0.000, 0.000, 0.000), Er at (0.000, 0.000, 0.252), Al at (0.000, 0.000, 0.500), Ga at (0.000, 0.500, 0.126), Ga at (0.000, 0.500, 0.383), Ga at (0.500, 0.500, 0.000), Ga at (0.500, 0.500, 0.247) and Ga at (0.500, 0.500, 0.500).

For the formation energy from the elements, the calculation gives -35 kJ per mole of atoms.


5.
Compound: ErAl3Ga4
Source: the Alexandria database
Functional: PBE
Structure: optimized geometry

The space group is Immm (No. 71) and the conventional cell measures 3.324, 6.912 and 13.884 Å, with angles of 90.00, 90.00 and 90.00 degrees. The inequivalent atoms are Er at (0.000, 0.000, 0.000), Al at (0.000, 0.000, 0.500), Al at (0.000, 0.500, 0.315) and Ga at (0.000, 0.310, 0.146).

For the formation energy from the elements, the calculation gives -5 kJ per mole of atoms.


6.
Compound: ErAlGa2
Source: the Alexandria database
Functional: PBE
Structure: optimized geometry

The space group is R-3m (No. 166, hexagonal axes) and the conventional cell measures 3.2128, 3.2128 and 30.0816 Å, with angles of 90.00, 90.00 and 120.00 degrees. The inequivalent atoms are Er at (0.0000, 0.0000, 0.0000), Al at (0.0000, 0.0000, 0.5000) and Ga at (0.0000, 0.0000, 0.4151).

For the formation energy from the elements, the calculation gives 2 kJ per mole of atoms.


7.
Compound: Er5AlGa2
Source: the Alexandria database
Functional: PBE
Structure: optimized geometry

The space group is I4/mcm (No. 140) and the conventional cell measures 7.611, 7.611 and 14.081 Å, with angles of 90.00, 90.00 and 90.00 degrees. The inequivalent atoms are Er at (0.000, 0.000, 0.000), Er at (0.169, 0.331, 0.146), Al at (0.000, 0.000, 0.250) and Ga at (0.123, 0.377, 0.500).

For the formation energy from the elements, the calculation gives -42 kJ per mole of atoms.


8.
Compound: Er2AlGa2
Source: the Alexandria database
Functional: PBE
Structure: optimized geometry

The space group is C2/m (No. 12) and the conventional cell measures 10.836, 4.328 and 10.293 Å, with angles of 90.00, 117.48 and 90.00 degrees. The inequivalent atoms are Er at (0.005, 0.000, 0.180), Er at (0.184, 0.000, 0.599), Al at (0.216, 0.500, 0.844), Ga at (0.028, 0.500, 0.389) and Ga at (0.138, 0.500, 0.064).

For the formation energy from the elements, the calculation gives -58 kJ per mole of atoms.


9.
Compound: Er2Al2Ga
Source: the Alexandria database
Functional: PBE
Structure: optimized geometry

The space group is C2/m (No. 12) and the conventional cell measures 10.670, 4.398 and 10.386 Å, with angles of 90.00, 116.32 and 90.00 degrees. The inequivalent atoms are Er at (0.009, 0.000, 0.328), Er at (0.182, 0.000, 0.098), Al at (0.026, 0.500, 0.886), Al at (0.142, 0.500, 0.564) and Ga at (0.221, 0.500, 0.333).

For the formation energy from the elements, the calculation gives -48 kJ per mole of atoms.


10.
Compound: ErAl4Ga
Source: the Alexandria database
Functional: PBE
Structure: optimized geometry

The space group is Cmmm (No. 65) and the conventional cell measures 4.175, 12.527 and 4.214 Å, with angles of 90.00, 90.00 and 90.00 degrees. The inequivalent atoms are Er at (0.000, 0.000, 0.000), Al at (0.000, 0.174, 0.500), Al at (0.000, 0.323, 0.000) and Ga at (0.000, 0.500, 0.500).

For the formation energy from the elements, the calculation gives -24 kJ per mole of atoms.


11.
Compound: ErAl4Ga
Source: the Alexandria database
Functional: PBE
Structure: optimized geometry

The space group is F-43m (No. 216) and the conventional cell measures 7.734, 7.734 and 7.734 Å, with angles of 90.00, 90.00 and 90.00 degrees. The inequivalent atoms are Er at (0.000, 0.000, 0.000), Al at (0.125, 0.125, 0.375) and Ga at (0.250, 0.250, 0.750).

For the formation energy from the elements, the calculation gives -17 kJ per mole of atoms.


12.
Compound: Er4AlGa
Source: the Alexandria database
Functional: PBE
Structure: optimized geometry

The space group is C2/c (No. 15) and the conventional cell measures 8.832, 13.432 and 5.892 Å, with angles of 90.00, 114.01 and 90.00 degrees. The inequivalent atoms are Er at (0.119, 0.182, 0.075), Er at (0.202, 0.425, 0.320), Al at (0.000, 0.376, 0.750) and Ga at (0.000, 0.000, 0.250).

For the formation energy from the elements, the calculation gives -27 kJ per mole of atoms.


13.
Compound: ErAl3Ga3
Source: the Alexandria database
Functional: PBE
Structure: optimized geometry

The space group is P2_13 (No. 198) and the conventional cell measures 8.112, 8.112 and 8.112 Å, with angles of 90.00, 90.00 and 90.00 degrees. The inequivalent atoms are Er at (0.019, 0.481, 0.519), Al at (0.126, 0.626, 0.874), Al at (0.148, 0.852, 0.352), Al at (0.190, 0.190, 0.190) and Ga at (0.051, 0.311, 0.863).

For the formation energy from the elements, the calculation gives -16 kJ per mole of atoms.


14.
Compound: Er7AlGa5
Source: the Alexandria database
Functional: PBE
Structure: optimized geometry

The space group is Imm2 (No. 44) and the conventional cell measures 6.125, 9.918 and 10.220 Å, with angles of 90.00, 90.00 and 90.00 degrees. The inequivalent atoms are Er at (0.000, 0.000, 0.000), Er at (0.000, 0.000, 0.369), Er at (0.000, 0.315, 0.760), Er at (0.000, 0.330, 0.281), Er at (0.000, 0.500, 0.028), Al at (0.000, 0.000, 0.691), Ga at (0.000, 0.500, 0.526) and Ga at (0.232, 0.239, 0.516).

For the formation energy from the elements, the calculation gives -33 kJ per mole of atoms.


15.
Compound: Er2Al9Ga
Source: the Alexandria database
Functional: PBE
Structure: optimized geometry

The space group is P4/mmm (No. 123) and the conventional cell measures 4.189, 4.189 and 12.650 Å, with angles of 90.00, 90.00 and 90.00 degrees. The inequivalent atoms are Er at (0.000, 0.000, 0.167), Al at (0.000, 0.500, 0.000), Al at (0.000, 0.500, 0.342), Al at (0.500, 0.500, 0.168), Al at (0.500, 0.500, 0.500) and Ga at (0.000, 0.000, 0.500).

For the formation energy from the elements, the calculation gives -23 kJ per mole of atoms.


16.
Compound: ErAlGa2
Source: the Alexandria database
Functional: PBE
Structure: optimized geometry

The space group is P4/mmm (No. 123) and the conventional cell measures 3.503, 3.503 and 6.449 Å, with angles of 90.00, 90.00 and 90.00 degrees. The inequivalent atoms are Er at (0.000, 0.000, 0.000), Al at (0.000, 0.000, 0.500) and Ga at (0.500, 0.500, 0.291).

For the formation energy from the elements, the calculation gives -30 kJ per mole of atoms.


17.
Compound: Er2AlGa5
Source: the Alexandria database
Functional: PBE
Structure: optimized geometry

The space group is I4mm (No. 107) and the conventional cell measures 6.019, 6.019 and 8.379 Å, with angles of 90.00, 90.00 and 90.00 degrees. The inequivalent atoms are Er at (0.000, 0.500, 0.000), Al at (0.000, 0.000, 0.006), Ga at (0.000, 0.000, 0.493) and Ga at (0.246, 0.246, 0.750).

For the formation energy from the elements, the calculation gives -48 kJ per mole of atoms.


18.
Compound: Er12Al5Ga2
Source: the Alexandria database
Functional: PBE
Structure: optimized geometry

The space group is C2/m (No. 12) and the conventional cell measures 14.745, 8.495 and 7.968 Å, with angles of 90.00, 94.14 and 90.00 degrees. The inequivalent atoms are Er at (0.039, 0.000, 0.208), Er at (0.051, 0.500, 0.662), Er at (0.143, 0.222, 0.905), Er at (0.166, 0.310, 0.350), Al at (0.000, 0.500, 0.000), Al at (0.144, 0.000, 0.570), Al at (0.246, 0.000, 0.245) and Ga at (0.000, 0.196, 0.500).

For the formation energy from the elements, the calculation gives -14 kJ per mole of atoms.


19.
Compound: ErAl3Ga3
Source: the Alexandria database
Functional: PBE
Structure: optimized geometry

The space group is Pm-3n (No. 223) and the conventional cell measures 6.972, 6.972 and 6.972 Å, with angles of 90.00, 90.00 and 90.00 degrees. The inequivalent atoms are Er at (0.000, 0.000, 0.000), Al at (0.000, 0.250, 0.500) and Ga at (0.000, 0.500, 0.250).

For the formation energy from the elements, the calculation gives 30 kJ per mole of atoms.


20.
Compound: Er8AlGa2
Source: the Alexandria database
Functional: PBE
Structure: optimized geometry

The space group is C2/m (No. 12) and the conventional cell measures 17.697, 4.979 and 6.797 Å, with angles of 90.00, 102.29 and 90.00 degrees. The inequivalent atoms are Er at (0.026, 0.000, 0.260), Er at (0.091, 0.500, 0.958), Er at (0.163, 0.500, 0.459), Er at (0.198, 0.000, 0.804), Al at (0.000, 0.500, 0.500) and Ga at (0.194, 0.000, 0.234).

For the formation energy from the elements, the calculation gives -25 kJ per mole of atoms.


Number 1: theoretical density 6.78 g/cm3. Number 2: theoretical density 6.56 g/cm3. Number 3: theoretical density 7.94 g/cm3. Number 4: theoretical density 7.50 g/cm3. Number 5: theoretical density 5.49 g/cm3. Number 6: theoretical density 6.18 g/cm3. Number 7: theoretical density 8.16 g/cm3. Number 8: theoretical density 7.77 g/cm3. Number 9: theoretical density 6.97 g/cm3. Number 10: theoretical density 5.20 g/cm3. Number 11: theoretical density 4.95 g/cm3. Number 12: theoretical density 7.97 g/cm3. Number 13: theoretical density 5.69 g/cm3. Number 14: theoretical density 8.27 g/cm3. Number 15: theoretical density 4.84 g/cm3. Number 16: theoretical density 7.00 g/cm3. Number 17: theoretical density 7.77 g/cm3. Number 18: theoretical density 7.61 g/cm3. Number 19: theoretical density 4.48 g/cm3. Number 20: theoretical density 8.54 g/cm3.